Entry 1:
# Tb2Pr6Y, relaxed, DFT PBE
# Calculated density (g/cm³): 6.7
# Crystal system: monoclinic
# M_tot (μB per formula unit): 0.000
# Formation enthalpy at 0 K (meV per atom): 79
data_Tb2Pr6Y
_space_group_name_H-M_alt 'C 1 2/c 1'
_space_group_IT_number 15
_space_group_name_Hall '-C 2yc'
_cell_length_a 16.644
_cell_length_b 11.963
_cell_length_c 6.311
_cell_angle_alpha 90.00
_cell_angle_beta 96.29
_cell_angle_gamma 90.00
loop_
_atom_site_label
_atom_site_type_symbol
_atom_site_fract_x
_atom_site_fract_y
_atom_site_fract_z
Tb1 Tb 0.167 0.101 0.085
Pr1 Pr 0.048 0.139 0.514
Pr2 Pr 0.118 0.358 0.818
Pr3 Pr 0.215 0.361 0.347
Y1 Y 0.000 0.399 0.250


Entry 2:
# YBiCl2, relaxed, DFT PBE
# Energy relative to the elements, uncorrected (eV per formula unit): -2.864
# Calculated density (g/cm³): 5.3
# Crystal system: trigonal
# M_tot (μB per formula unit): 0.000
data_YBiCl2
_space_group_name_H-M_alt 'R -3 m'
_space_group_IT_number 166
_space_group_name_Hall '-R 3 2"'
_cell_length_a 3.6006
_cell_length_b 3.6006
_cell_length_c 30.6175
_cell_angle_alpha 90.00
_cell_angle_beta 90.00
_cell_angle_gamma 120.00
loop_
_atom_site_label
_atom_site_type_symbol
_atom_site_fract_x
_atom_site_fract_y
_atom_site_fract_z
Y1 Y 0.0000 0.0000 0.0000
Bi1 Bi 0.0000 0.0000 0.5000
Cl1 Cl 0.0000 0.0000 0.0841


Entry 3:
# Sm2Al2Ge3, relaxed, DFT PBE
# Calculated density (g/cm³): 6.1
# Crystal system: monoclinic
# M_tot (μB per formula unit): 0.000
# Formation enthalpy at 0 K (meV per atom): -570
data_Sm2Al2Ge3
_space_group_name_H-M_alt 'C 1 2/m 1'
_space_group_IT_number 12
_space_group_name_Hall '-C 2y'
_cell_length_a 15.498
_cell_length_b 4.232
_cell_length_c 11.874
_cell_angle_alpha 90.00
_cell_angle_beta 126.77
_cell_angle_gamma 90.00
loop_
_atom_site_label
_atom_site_type_symbol
_atom_site_fract_x
_atom_site_fract_y
_atom_site_fract_z
Sm1 Sm 0.098 0.000 0.442
Sm2 Sm 0.233 0.000 0.839
Al1 Al 0.050 0.500 0.811
Al2 Al 0.095 0.000 0.161
Ge1 Ge 0.089 0.500 0.624
Ge2 Ge 0.112 0.000 0.960
Ge3 Ge 0.163 0.500 0.315


Entry 4:
# KBa2Y, relaxed, DFT PBE
# Calculated density (g/cm³): 3.1
# Crystal system: tetragonal
# M_tot (μB per formula unit): 0.007
# Formation enthalpy at 0 K (meV per atom): 383
data_KBa2Y
_space_group_name_H-M_alt 'I -4 m 2'
_space_group_IT_number 119
_space_group_name_Hall 'I -4 -2'
_cell_length_a 5.804
_cell_length_b 5.804
_cell_length_c 12.605
_cell_angle_alpha 90.00
_cell_angle_beta 90.00
_cell_angle_gamma 90.00
loop_
_atom_site_label
_atom_site_type_symbol
_atom_site_fract_x
_atom_site_fract_y
_atom_site_fract_z
K1 K 0.000 0.000 0.000
Ba1 Ba 0.000 0.000 0.500
Ba2 Ba 0.000 0.500 0.250
Y1 Y 0.000 0.500 0.750


> Number 3 is which compound?

Sm2Al2Ge3


> Which of these has the highest calculated density?

Tb2Pr6Y